Entry from Alexandria: RbNp2Cl11 after structural relaxation (PBE).

Results
formation energy from raw total energies: -35.24 kcal/mol of atoms
VASP energy: -137.1 eV per cell
Fermi-level density of states: 15.1 states/eV/f.u.
space group: No. 72

Cell and atoms, written as POSCAR:
```
RbNp2Cl11
1.0
-11.146 -5.397 -1.543
-1.331 -10.815 -3.025
-5.116 -6.148 7.995
Rb Np Cl
2 4 22
direct
0.750 0.750 0.750
0.250 0.250 0.250
0.648 0.657 0.343
0.352 0.343 0.657
0.852 0.157 0.843
0.148 0.843 0.157
0.625 0.688 0.565
0.375 0.312 0.435
0.122 0.565 0.688
0.875 0.935 0.812
0.878 0.435 0.312
0.125 0.065 0.188
0.378 0.812 0.935
0.622 0.188 0.065
0.500 0.500 0.500
0.000 0.000 0.000
0.782 0.801 0.199
0.218 0.199 0.801
0.718 0.301 0.699
0.282 0.699 0.301
0.418 0.879 0.372
0.582 0.121 0.628
0.331 0.372 0.879
0.082 0.128 0.621
0.669 0.628 0.121
0.918 0.872 0.379
0.169 0.621 0.128
0.831 0.379 0.872
```

---

Entry from Alexandria: Rb3NpCl6 after structural relaxation (PBE).

Results
formation energy from raw total energies: -43.87 kcal/mol of atoms
VASP energy: -91.9 eV per cell
Fermi-level density of states: 5.8 states/eV/f.u.
space group: No. 14

Cell and atoms, written as POSCAR:
```
Rb3NpCl6
1.0
7.862 0.000 -0.032
0.000 8.329 0.000
0.054 0.000 11.274
Rb Np Cl
6 2 12
direct
0.526 0.931 0.750
0.500 0.500 0.000
0.474 0.069 0.250
0.026 0.569 0.250
0.000 0.000 0.500
0.974 0.431 0.750
0.500 0.500 0.500
0.000 0.000 0.000
0.724 0.183 0.939
0.669 0.227 0.571
0.625 0.443 0.276
0.375 0.557 0.724
0.331 0.773 0.429
0.276 0.817 0.061
0.224 0.317 0.439
0.169 0.273 0.071
0.125 0.057 0.776
0.875 0.943 0.224
0.831 0.727 0.929
0.776 0.683 0.561
```

---

Entry from Alexandria: RbNp2Cl6 after structural relaxation (PBE).

Results
formation energy from raw total energies: -39.30 kcal/mol of atoms
VASP energy: -53.3 eV per cell
Fermi-level density of states: 22.0 states/eV/f.u.
space group: No. 162

Cell and atoms, written as POSCAR:
```
RbNp2Cl6
1.0
-5.838 3.126 -2.850
-3.973 -5.811 1.765
0.660 5.503 4.684
Rb Np Cl
1 2 6
direct
0.000 0.000 0.000
0.500 0.667 0.333
0.500 0.333 0.667
0.718 0.630 0.630
0.282 0.630 0.000
0.282 0.000 0.630
0.718 0.370 0.000
0.282 0.370 0.370
0.718 0.000 0.370
```

---

Entry from Alexandria: RbNp2Cl8 after structural relaxation (PBE).

Results
formation energy from raw total energies: -40.26 kcal/mol of atoms
VASP energy: -60.8 eV per cell
Fermi-level density of states: 13.9 states/eV/f.u.
space group: No. 12

Cell and atoms, written as POSCAR:
```
RbNp2Cl8
1.0
5.464 0.075 0.113
-0.795 7.695 -0.070
-0.795 -3.028 7.074
Rb Np Cl
1 2 8
direct
0.500 0.000 0.000
0.000 0.322 0.678
0.000 0.678 0.322
0.930 0.950 0.670
0.930 0.670 0.950
0.272 0.596 0.596
0.500 0.733 0.267
0.500 0.267 0.733
0.728 0.404 0.404
0.070 0.330 0.050
0.070 0.050 0.330
```

---

Entry from Alexandria: Rb2NpCl5 after structural relaxation (PBE).

Results
formation energy from raw total energies: -43.51 kcal/mol of atoms
VASP energy: -156.8 eV per cell
Fermi-level density of states: 7.2 states/eV/f.u.
space group: No. 62

Cell and atoms, written as POSCAR:
```
Rb2NpCl5
1.0
8.363 0.000 0.000
0.000 8.965 0.000
0.000 0.000 13.477
Rb Np Cl
8 4 20
direct
0.448 0.504 0.830
0.552 0.496 0.170
0.948 0.496 0.670
0.552 0.004 0.170
0.052 0.504 0.330
0.448 0.996 0.830
0.052 0.996 0.330
0.948 0.004 0.670
0.438 0.250 0.502
0.562 0.750 0.498
0.938 0.750 0.998
0.062 0.250 0.002
0.099 0.250 0.511
0.901 0.750 0.489
0.599 0.750 0.989
0.401 0.250 0.011
0.343 0.961 0.574
0.657 0.039 0.426
0.843 0.039 0.926
0.657 0.461 0.426
0.157 0.961 0.074
0.343 0.539 0.574
0.157 0.539 0.074
0.843 0.461 0.926
0.155 0.250 0.805
0.845 0.750 0.195
0.655 0.750 0.695
0.345 0.250 0.305
0.621 0.250 0.673
0.379 0.750 0.327
0.121 0.750 0.827
0.879 0.250 0.173
```

---

Entry from Alexandria: Rb3Np2Cl9 after structural relaxation (PBE).

Results
formation energy from raw total energies: -42.21 kcal/mol of atoms
VASP energy: -142.1 eV per cell
Fermi-level density of states: 9.6 states/eV/f.u.
space group: No. 167

Cell and atoms, written as POSCAR:
```
Rb3Np2Cl9
1.0
-5.882 6.407 -4.613
-7.506 -6.297 -0.959
-4.611 2.944 8.185
Rb Np Cl
6 4 18
direct
0.423 0.750 0.077
0.250 0.923 0.577
0.923 0.577 0.250
0.077 0.423 0.750
0.750 0.077 0.423
0.577 0.250 0.923
0.146 0.146 0.146
0.646 0.646 0.646
0.854 0.854 0.854
0.354 0.354 0.354
0.727 0.935 0.086
0.065 0.914 0.273
0.250 0.404 0.096
0.565 0.773 0.414
0.596 0.904 0.750
0.904 0.750 0.596
0.227 0.586 0.435
0.586 0.435 0.227
0.914 0.273 0.065
0.086 0.727 0.935
0.414 0.565 0.773
0.404 0.096 0.250
0.773 0.414 0.565
0.096 0.250 0.404
0.435 0.227 0.586
0.750 0.596 0.904
0.935 0.086 0.727
0.273 0.065 0.914
```

---

Entry from Alexandria: Rb2NpCl7 after structural relaxation (PBE).

Results
formation energy from raw total energies: -35.51 kcal/mol of atoms
VASP energy: -43.2 eV per cell
Fermi-level density of states: 9.2 states/eV/f.u.
space group: No. 225

Cell and atoms, written as POSCAR:
```
Rb2NpCl7
1.0
8.096 0.000 0.000
4.048 7.011 0.000
4.048 2.337 6.610
Rb Np Cl
2 1 7
direct
0.250 0.250 0.250
0.750 0.750 0.750
0.000 0.000 0.000
0.500 0.500 0.500
0.223 0.777 0.777
0.223 0.777 0.223
0.777 0.223 0.777
0.777 0.777 0.223
0.223 0.223 0.777
0.777 0.223 0.223
```

---

Entry from Alexandria: Rb2NpCl6 after structural relaxation (PBE).

Results
formation energy from raw total energies: -42.47 kcal/mol of atoms
VASP energy: -85.1 eV per cell
Fermi-level density of states: 5.6 states/eV/f.u.
space group: No. 136

Cell and atoms, written as POSCAR:
```
Rb2NpCl6
1.0
7.172 0.000 0.000
0.000 7.172 0.000
0.000 0.000 14.117
Rb Np Cl
4 2 12
direct
0.000 0.000 0.335
0.500 0.500 0.835
0.500 0.500 0.165
0.000 0.000 0.665
0.000 0.000 0.000
0.500 0.500 0.500
0.322 0.322 0.365
0.678 0.678 0.365
0.178 0.822 0.865
0.822 0.178 0.865
0.178 0.822 0.135
0.822 0.178 0.135
0.322 0.322 0.635
0.678 0.678 0.635
0.258 0.258 0.000
0.742 0.742 0.000
0.242 0.758 0.500
0.758 0.242 0.500
```

---

Entry from Alexandria: RbNpCl14 after structural relaxation (PBE).

Results
formation energy from raw total energies: -14.29 kcal/mol of atoms
VASP energy: -49.7 eV per cell
Fermi-level density of states: 9.0 states/eV/f.u.
space group: No. 38

Cell and atoms, written as POSCAR:
```
RbNpCl14
1.0
0.702 3.456 7.914
-3.931 -7.695 0.629
7.974 -3.989 1.035
Rb Np Cl
1 1 14
direct
0.658 0.342 0.000
0.162 0.838 0.000
0.653 0.347 0.500
0.282 0.718 0.500
0.458 0.860 0.000
0.532 0.885 0.500
0.140 0.542 0.000
0.115 0.468 0.500
0.935 0.748 0.185
0.935 0.748 0.815
0.252 0.065 0.185
0.252 0.065 0.815
0.774 0.226 0.322
0.774 0.226 0.678
0.538 0.462 0.321
0.538 0.462 0.679
```

---

Entry from Alexandria: Rb2NpCl8 after structural relaxation (PBE).

Results
formation energy from raw total energies: -31.35 kcal/mol of atoms
VASP energy: -44.6 eV per cell
Fermi-level density of states: 19.9 states/eV/f.u.
space group: No. 12

Cell and atoms, written as POSCAR:
```
Rb2NpCl8
1.0
-1.363 0.730 4.705
-0.787 -6.535 0.787
11.153 1.941 0.323
Rb Np Cl
2 1 8
direct
0.820 0.314 0.639
0.180 0.686 0.361
0.500 0.000 0.000
0.433 0.619 0.867
0.609 0.958 0.219
0.778 0.766 0.556
0.979 0.192 0.959
0.222 0.234 0.444
0.391 0.042 0.781
0.567 0.381 0.133
0.021 0.808 0.041
```

---

Entry from Alexandria: Rb4NpCl7 after structural relaxation (PBE).

Results
formation energy from raw total energies: -42.69 kcal/mol of atoms
VASP energy: -52.0 eV per cell
Fermi-level density of states: 7.4 states/eV/f.u.
space group: No. 12

Cell and atoms, written as POSCAR:
```
Rb4NpCl7
1.0
-1.506 0.829 5.283
-7.890 -3.755 1.262
1.989 -8.754 4.862
Rb Np Cl
4 1 7
direct
0.574 0.608 0.244
0.426 0.392 0.756
0.737 0.883 0.643
0.263 0.117 0.357
0.000 0.000 0.000
0.828 0.313 0.030
0.172 0.687 0.970
0.078 0.120 0.725
0.922 0.880 0.275
0.360 0.736 0.543
0.500 0.000 0.000
0.640 0.264 0.457
```

---

Entry from Alexandria: Rb3NpCl7 after structural relaxation (PBE).

Results
formation energy from raw total energies: -42.02 kcal/mol of atoms
VASP energy: -48.8 eV per cell
Fermi-level density of states: 2.0 states/eV/f.u.
space group: No. 8

Cell and atoms, written as POSCAR:
```
Rb3NpCl7
1.0
-7.461 -0.745 1.679
0.157 -7.665 0.516
-1.915 -3.374 7.524
Rb Np Cl
3 1 7
direct
0.776 0.228 0.487
0.509 0.509 0.917
0.228 0.776 0.487
0.957 0.957 0.037
0.142 0.142 0.132
0.647 0.122 0.213
0.975 0.304 0.741
0.122 0.647 0.213
0.653 0.653 0.403
0.304 0.975 0.741
0.813 0.813 0.880
```

---

Entry from Alexandria: Rb2NpCl7 after structural relaxation (PBE).

Results
formation energy from raw total energies: -37.70 kcal/mol of atoms
VASP energy: -88.3 eV per cell
Fermi-level density of states: 7.1 states/eV/f.u.
space group: No. 15

Cell and atoms, written as POSCAR:
```
Rb2NpCl7
1.0
-6.814 -5.463 0.583
1.324 -8.091 5.363
-5.956 1.315 8.429
Rb Np Cl
4 2 14
direct
0.628 0.906 0.704
0.762 0.406 0.204
0.238 0.594 0.796
0.372 0.094 0.296
0.878 0.250 0.750
0.122 0.750 0.250
0.654 0.536 0.781
0.028 0.036 0.281
0.240 0.841 0.988
0.248 0.133 0.634
0.577 0.250 0.750
0.931 0.341 0.488
0.015 0.367 0.866
0.985 0.633 0.134
0.069 0.659 0.512
0.423 0.750 0.250
0.752 0.867 0.366
0.760 0.159 0.012
0.972 0.964 0.719
0.346 0.464 0.219
```

---

Entry from Alexandria: Rb2Np2Cl7 after structural relaxation (PBE).

Results
formation energy from raw total energies: -39.68 kcal/mol of atoms
VASP energy: -59.7 eV per cell
Fermi-level density of states: 13.6 states/eV/f.u.
space group: No. 12

Cell and atoms, written as POSCAR:
```
Rb2Np2Cl7
1.0
-4.451 -4.242 -4.470
-4.721 -0.339 5.097
-3.644 5.679 -1.688
Rb Np Cl
2 2 7
direct
0.500 0.764 0.236
0.500 0.236 0.764
0.000 0.721 0.721
0.000 0.279 0.279
0.230 0.999 0.498
0.770 0.502 0.001
0.770 0.001 0.502
0.230 0.498 0.999
0.000 0.000 0.000
0.779 0.500 0.500
0.221 0.500 0.500
```

---

Entry from Alexandria: RbNp2Cl7 after structural relaxation (PBE).

Results
formation energy from raw total energies: -40.65 kcal/mol of atoms
VASP energy: -57.4 eV per cell
Fermi-level density of states: 20.8 states/eV/f.u.
space group: No. 65

Cell and atoms, written as POSCAR:
```
RbNp2Cl7
1.0
-5.035 1.580 -1.288
-2.906 -7.443 2.229
0.312 5.813 5.910
Rb Np Cl
1 2 7
direct
0.000 0.000 0.000
0.500 0.694 0.306
0.500 0.306 0.694
0.000 0.707 0.293
0.000 0.293 0.707
0.500 0.047 0.327
0.500 0.953 0.673
0.500 0.327 0.047
0.500 0.673 0.953
0.500 0.500 0.500
```

---

Entry from Alexandria: Rb2NpCl4 after structural relaxation (PBE).

Results
formation energy from raw total energies: -37.49 kcal/mol of atoms
VASP energy: -33.6 eV per cell
Fermi-level density of states: 12.5 states/eV/f.u.
space group: No. 139

Cell and atoms, written as POSCAR:
```
Rb2NpCl4
1.0
5.507 0.000 0.000
0.000 5.507 0.000
2.753 2.753 8.415
Np Rb Cl
1 2 4
direct
0.000 0.000 0.000
0.640 0.640 0.720
0.360 0.360 0.280
0.833 0.833 0.334
0.167 0.167 0.666
0.000 0.500 0.000
0.500 0.000 0.000
```

---

Entry from Alexandria: RbNpScCl6 after structural relaxation (PBE).

Results
formation energy from raw total energies: -43.25 kcal/mol of atoms
VASP energy: -96.4 eV per cell
Fermi-level density of states: 11.1 states/eV/f.u.
space group: No. 163

Cell and atoms, written as POSCAR:
```
RbNpScCl6
1.0
6.911 0.000 0.000
-3.456 5.985 0.000
0.000 0.000 14.824
Rb Np Sc Cl
2 2 2 12
direct
0.000 0.000 0.000
0.000 0.000 0.500
0.333 0.667 0.250
0.667 0.333 0.750
0.667 0.333 0.250
0.333 0.667 0.750
0.649 0.624 0.148
0.976 0.351 0.148
0.351 0.976 0.648
0.024 0.649 0.852
0.376 0.351 0.352
0.976 0.624 0.352
0.624 0.976 0.852
0.649 0.024 0.352
0.024 0.376 0.648
0.376 0.024 0.148
0.624 0.649 0.648
0.351 0.376 0.852
```